# 1
The following is a PBE calculation of Li4PmDy after structural relaxation, from Alexandria via LeMat-Bulk.

Structure (POSCAR):
```
Li4PmDy
1.0
-1.4083 2.3950 -5.1826
-5.1157 -1.3464 -2.5681
-4.2796 4.0204 -0.3152
Pm Li Dy
1 4 1
direct
0.2500 0.2500 0.2500 Pm
0.6253 0.6253 0.1241 Li
0.6253 0.1241 0.6253 Li
0.6253 0.6253 0.6253 Li
0.1241 0.6253 0.6253 Li
0.0000 0.0000 0.0000 Dy
```

Calculated values
E_form: 0.1115 eV/atom
symmetry: F-43m, No. 216
crystal system: cubic
density of states at the Fermi level: 5.52 states/eV/f.u.

***

# 2
The following is a PBE calculation of LiPmDy after structural relaxation, from Alexandria via LeMat-Bulk.

Structure (POSCAR):
```
LiPmDy
1.0
3.5148 0.0000 0.0000
-1.7574 3.0439 0.0000
0.0000 0.0000 8.3873
Pm Li Dy
1 1 1
direct
0.6667 0.3333 0.3309 Pm
0.0000 0.0000 0.9971 Li
0.3333 0.6667 0.6720 Dy
```

Calculated values
ΔE to the lowest computed polymorph: 19 meV per atom
E_form: 0.1050 eV/atom
symmetry: P3m1, No. 156
crystal system: trigonal
density of states at the Fermi level: 3.26 states/eV/f.u.

***

# 3
The following is a PBE calculation of LiPmDy after structural relaxation, from Alexandria via LeMat-Bulk.

Structure (POSCAR):
```
LiPmDy
1.0
3.3980 0.9220 -0.3113
0.8895 3.4067 -0.3113
-4.1653 -4.2054 29.7094
Li Pm Dy
2 2 2
direct
0.8892 0.8892 0.5377 Li
0.1108 0.1108 0.4623 Li
0.7548 0.7548 0.9455 Pm
0.2452 0.2452 0.0545 Pm
0.2812 0.2812 0.8486 Dy
0.7188 0.7188 0.1514 Dy
```

Calculated values
ΔE to the lowest computed polymorph: 265 meV per atom
E_form: 0.3510 eV/atom
symmetry: C2/m, No. 12
crystal system: monoclinic
density of states at the Fermi level: 4.35 states/eV/f.u.

***

# 4
The following is a PBE calculation of LiPmDyRe after structural relaxation, from Alexandria via LeMat-Bulk.

Structure (POSCAR):
```
LiPmDyRe
1.0
4.9726 0.0000 0.0000
2.4863 4.3064 0.0000
2.4863 1.4355 4.0601
Re Pm Li Dy
1 1 1 1
direct
0.7500 0.7500 0.7500 Re
0.5000 0.5000 0.5000 Pm
0.2500 0.2500 0.2500 Li
0.0000 0.0000 0.0000 Dy
```

Calculated values
E_form: 0.1121 eV/atom
symmetry: F-43m, No. 216
crystal system: cubic
density of states at the Fermi level: 3.52 states/eV/f.u.

***

# 5
The following is a PBE calculation of LiPmDyRh after structural relaxation, from Alexandria via LeMat-Bulk.

Structure (POSCAR):
```
LiPmDyRh
1.0
-0.8276 -4.9095 -0.4575
0.6779 -2.2487 -4.4137
3.8422 -3.1334 -0.6453
Pm Rh Li Dy
1 1 1 1
direct
0.2500 0.2500 0.2500 Pm
0.5000 0.5000 0.5000 Rh
0.0000 0.0000 0.0000 Li
0.7500 0.7500 0.7500 Dy
```

Calculated values
E_form: -0.4255 eV/atom
symmetry: F-43m, No. 216
crystal system: cubic
density of states at the Fermi level: 3.00 states/eV/f.u.

***

# 6
The following is a PBE calculation of LiPm2DyS4 after structural relaxation, from Alexandria via LeMat-Bulk.

Structure (POSCAR):
```
LiPm2DyS4
1.0
-0.7994 -0.1743 3.8696
5.6500 -3.6952 1.0007
1.4933 6.6572 0.6084
Li Pm Dy S
1 2 1 4
direct
0.5000 0.5000 0.0000 Li
0.5000 0.0000 0.5000 Pm
0.0000 0.5000 0.5000 Pm
0.0000 0.0000 0.0000 Dy
0.5000 0.2496 0.2359 S
0.5000 0.7504 0.7641 S
0.0000 0.2562 0.7635 S
0.0000 0.7438 0.2365 S
```

Calculated values
energy relative to the elements, uncorrected: -1931 meV/atom
symmetry: P2/m, No. 10
crystal system: monoclinic
density of states at the Fermi level: 2.62 states/eV/f.u.

***

# 7
The following is a PBE calculation of LiPm2DyS5 after structural relaxation, from Alexandria via LeMat-Bulk.

Structure (POSCAR):
```
LiPm2DyS5
1.0
3.9641 0.0000 0.0000
-1.9820 8.2202 0.0000
0.0000 0.0000 11.8842
Li Pm Dy S
2 4 2 10
direct
0.5138 0.0277 0.9819 Li
0.4862 0.9723 0.4819 Li
0.8759 0.7518 0.7967 Pm
0.1080 0.2160 0.6850 Pm
0.1241 0.2482 0.2967 Pm
0.8920 0.7840 0.1850 Pm
0.8027 0.6054 0.5018 Dy
0.1973 0.3946 0.0018 Dy
0.3629 0.7259 0.9988 S
0.6923 0.3846 0.8433 S
0.5006 0.0012 0.7841 S
0.2870 0.5739 0.6610 S
0.9535 0.9069 0.5714 S
0.6371 0.2741 0.4988 S
0.3077 0.6154 0.3433 S
0.4994 0.9988 0.2841 S
0.7130 0.4261 0.1610 S
0.0465 0.0931 0.0714 S
```

Calculated values
energy relative to the elements, uncorrected: -1916 meV/atom
symmetry: Cmc2_1, No. 36
crystal system: orthorhombic

***

# 8
The following is a PBE calculation of LiPmDyS3 after structural relaxation, from Alexandria via LeMat-Bulk.

Structure (POSCAR):
```
LiPmDyS3
1.0
3.8483 0.0000 0.0000
0.0000 8.1066 0.1579
0.0000 -1.9757 8.1856
Li Pm Dy S
2 2 2 6
direct
0.2500 0.0870 0.5843 Li
0.7500 0.9130 0.4157 Li
0.2500 0.1870 0.2214 Pm
0.7500 0.8130 0.7786 Pm
0.2500 0.6629 0.1661 Dy
0.7500 0.3371 0.8339 Dy
0.7500 0.9027 0.1327 S
0.2500 0.0973 0.8673 S
0.2500 0.7856 0.5029 S
0.7500 0.2144 0.4971 S
0.7500 0.4275 0.1712 S
0.2500 0.5725 0.8288 S
```

Calculated values
energy relative to the elements, uncorrected: -1828 meV/atom
symmetry: P2_1/m, No. 11
crystal system: monoclinic
density of states at the Fermi level: 1.79 states/eV/f.u.

***

# 9
The following is a PBE calculation of Li4PmDy3S8 after structural relaxation, from Alexandria via LeMat-Bulk.

Structure (POSCAR):
```
Li4PmDy3S8
1.0
7.8860 0.0000 0.0000
0.0000 7.6822 -0.1522
-3.9430 -3.9393 5.5762
Li Pm Dy S
4 1 3 8
direct
0.5000 0.0000 0.0000 Li
0.5000 0.0000 0.5000 Li
0.0000 0.0000 0.0000 Li
0.0000 0.0000 0.5000 Li
0.0000 0.5000 0.0000 Pm
0.5000 0.5000 0.0000 Dy
0.5000 0.5000 0.5000 Dy
0.0000 0.5000 0.5000 Dy
0.2540 0.7522 0.9987 S
0.2539 0.7522 0.5079 S
0.2500 0.2504 0.5000 S
0.7448 0.7522 0.9987 S
0.2552 0.2478 0.0013 S
0.7500 0.7496 0.5000 S
0.7461 0.2478 0.4921 S
0.7460 0.2478 0.0013 S
```

Calculated values
energy relative to the elements, uncorrected: -1835 meV/atom
symmetry: R-3m, No. 166
crystal system: trigonal
density of states at the Fermi level: 0.00 states/eV/f.u.

***

# 10
The following is a PBE calculation of LiPm4Dy3S8 after structural relaxation, from Alexandria via LeMat-Bulk.

Structure (POSCAR):
```
LiPm4Dy3S8
1.0
-1.3760 7.6569 1.3234
-6.8003 -1.8543 3.6576
6.7666 -3.2672 2.4112
Li Pm Dy S
1 4 3 8
direct
0.0000 0.5000 0.0000 Li
0.5000 0.0000 0.0000 Pm
0.5000 0.0000 0.5000 Pm
0.0000 0.0000 0.0000 Pm
0.0000 0.0000 0.5000 Pm
0.5000 0.5000 0.0000 Dy
0.5000 0.5000 0.5000 Dy
0.0000 0.5000 0.5000 Dy
0.2422 0.7343 0.9921 S
0.2423 0.7344 0.4846 S
0.2540 0.2619 0.5080 S
0.7499 0.7343 0.9921 S
0.2501 0.2657 0.0079 S
0.7460 0.7381 0.4920 S
0.7577 0.2656 0.5154 S
0.7578 0.2657 0.0079 S
```

Calculated values
energy relative to the elements, uncorrected: -1974 meV/atom
symmetry: R-3m, No. 166
crystal system: trigonal
density of states at the Fermi level: 8.10 states/eV/f.u.

***

# 11
The following is a PBE calculation of LiPmDy2S5 after structural relaxation, from Alexandria via LeMat-Bulk.

Structure (POSCAR):
```
LiPmDy2S5
1.0
-1.8321 3.0318 1.6918
-4.6507 -6.6240 2.2799
6.7140 -1.3677 9.7219
Li Pm Dy S
2 2 4 10
direct
0.5109 0.0217 0.9841 Li
0.4891 0.9783 0.4841 Li
0.8043 0.6086 0.4981 Pm
0.1957 0.3914 0.9981 Pm
0.8796 0.7591 0.7909 Dy
0.1090 0.2180 0.6830 Dy
0.1204 0.2409 0.2909 Dy
0.8910 0.7820 0.1830 Dy
0.3645 0.7290 0.0047 S
0.6910 0.3820 0.8330 S
0.5007 0.0013 0.7867 S
0.2902 0.5804 0.6662 S
0.9575 0.9150 0.5773 S
0.6355 0.2710 0.5047 S
0.3090 0.6180 0.3330 S
0.4993 0.9987 0.2867 S
0.7098 0.4196 0.1662 S
0.0425 0.0850 0.0773 S
```

Calculated values
energy relative to the elements, uncorrected: -1842 meV/atom
symmetry: Cmc2_1, No. 36
crystal system: orthorhombic

***

# 12
The following is a PBE calculation of LiPm3Dy2S6 after structural relaxation, from Alexandria via LeMat-Bulk.

Structure (POSCAR):
```
LiPm3Dy2S6
1.0
-3.5828 -2.9900 -4.9859
6.5252 -1.7230 1.0438
-2.8750 -3.0568 5.4618
Li Pm Dy S
1 3 2 6
direct
0.0000 0.0000 0.0000 Li
0.1653 0.8347 0.5000 Pm
0.8347 0.1653 0.5000 Pm
0.5000 0.5000 0.5000 Pm
0.3344 0.6656 0.0000 Dy
0.6656 0.3344 0.0000 Dy
0.9217 0.5939 0.7640 S
0.7518 0.7518 0.2329 S
0.0783 0.4061 0.2360 S
0.5939 0.9217 0.7640 S
0.2482 0.2482 0.7671 S
0.4061 0.0783 0.2360 S
```

Calculated values
energy relative to the elements, uncorrected: -1968 meV/atom
symmetry: C2/m, No. 12
crystal system: monoclinic
density of states at the Fermi level: 4.53 states/eV/f.u.

***

# 13
The following is a PBE calculation of LiPmDy2S4 after structural relaxation, from Alexandria via LeMat-Bulk.

Structure (POSCAR):
```
LiPmDy2S4
1.0
3.9163 0.0000 0.0000
0.0000 6.7992 0.1248
0.0000 -2.3702 6.3809
Li Pm Dy S
1 1 2 4
direct
0.5000 0.5000 0.0000 Li
0.0000 0.0000 0.0000 Pm
0.5000 0.0000 0.5000 Dy
0.0000 0.5000 0.5000 Dy
0.5000 0.2602 0.2544 S
0.5000 0.7398 0.7456 S
0.0000 0.2555 0.7484 S
0.0000 0.7445 0.2516 S
```

Calculated values
energy relative to the elements, uncorrected: -1935 meV/atom
symmetry: P2/m, No. 10
crystal system: monoclinic
density of states at the Fermi level: 2.50 states/eV/f.u.

***

# 14
The following is a PBE calculation of LiPmDy4S8 after structural relaxation, from Alexandria via LeMat-Bulk.

Structure (POSCAR):
```
LiPmDy4S8
1.0
8.0215 0.0000 0.0000
4.0107 6.9468 0.0000
4.0107 2.3156 6.6327
Li Pm Dy S
1 1 4 8
direct
0.3755 0.3755 0.8736 Li
0.0040 0.0040 0.9880 Pm
0.6260 0.6260 0.1221 Dy
0.0046 0.4863 0.5046 Dy
0.4863 0.0046 0.5046 Dy
0.0046 0.0046 0.5046 Dy
0.2470 0.7687 0.7373 S
0.7687 0.2470 0.7373 S
0.2470 0.2470 0.7373 S
0.2426 0.2426 0.2722 S
0.7540 0.2273 0.2648 S
0.2273 0.7540 0.2648 S
0.7540 0.7540 0.2648 S
0.7586 0.7586 0.7241 S
```

Calculated values
energy relative to the elements, uncorrected: -1958 meV/atom
symmetry: R3m, No. 160
crystal system: trigonal
density of states at the Fermi level: 0.00 states/eV/f.u.

***

# 15
The following is a PBE calculation of Li2Pm3DyS6 after structural relaxation, from Alexandria via LeMat-Bulk.

Structure (POSCAR):
```
Li2Pm3DyS6
1.0
6.8502 -0.0011 0.0019
-3.4244 5.9328 0.0019
-1.1409 -1.9755 6.4107
Li Pm Dy S
2 3 1 6
direct
0.3331 0.6669 0.0000 Li
0.6669 0.3331 0.0000 Li
0.1681 0.8319 0.5000 Pm
0.8319 0.1681 0.5000 Pm
0.5000 0.5000 0.5000 Pm
0.0000 0.0000 0.0000 Dy
0.9211 0.5860 0.7640 S
0.7448 0.7448 0.2385 S
0.0789 0.4140 0.2360 S
0.5860 0.9211 0.7640 S
0.2552 0.2552 0.7615 S
0.4140 0.0789 0.2360 S
```

Calculated values
energy relative to the elements, uncorrected: -1888 meV/atom
symmetry: C2/m, No. 12
crystal system: monoclinic
density of states at the Fermi level: 2.57 states/eV/f.u.

***

# 16
The following is a PBE calculation of Li2PmDy2Sb2 after structural relaxation, from Alexandria via LeMat-Bulk.

Structure (POSCAR):
```
Li2PmDy2Sb2
1.0
-0.3317 4.6108 -1.1178
-2.7922 2.8732 2.5626
5.7974 4.3018 5.9067
Li Pm Dy Sb
2 1 2 2
direct
0.5908 0.5908 0.2277 Li
0.4092 0.4092 0.7723 Li
0.0000 0.0000 0.0000 Pm
0.1308 0.1308 0.6075 Dy
0.8692 0.8692 0.3925 Dy
0.7382 0.7382 0.7855 Sb
0.2618 0.2618 0.2145 Sb
```

Calculated values
energy relative to the elements, uncorrected: -569 meV/atom
symmetry: R-3m, No. 166
crystal system: trigonal
density of states at the Fermi level: 5.68 states/eV/f.u.

***

# 17
The following is a PBE calculation of LiPmDySc after structural relaxation, from Alexandria via LeMat-Bulk.

Structure (POSCAR):
```
LiPmDySc
1.0
-2.4596 4.2341 2.2340
-5.0002 1.3083 -1.5014
-4.1122 -0.7562 3.3891
Sc Pm Li Dy
1 1 1 1
direct
0.5000 0.5000 0.5000 Sc
0.2500 0.2500 0.2500 Pm
0.0000 0.0000 0.0000 Li
0.7500 0.7500 0.7500 Dy
```

Calculated values
E_form: 0.1473 eV/atom
symmetry: F-43m, No. 216
crystal system: cubic
density of states at the Fermi level: 4.13 states/eV/f.u.

***

# 18
The following is a PBE calculation of Li2PmDySe4 after structural relaxation, from Alexandria via LeMat-Bulk.

Structure (POSCAR):
```
Li2PmDySe4
1.0
4.1244 0.0000 0.0000
0.0000 7.1429 0.1205
0.0000 -2.4878 6.4684
Li Pm Dy Se
2 1 1 4
direct
0.5000 0.0000 0.5000 Li
0.0000 0.5000 0.5000 Li
0.0000 0.0000 0.0000 Pm
0.5000 0.5000 0.0000 Dy
0.5000 0.2582 0.2572 Se
0.5000 0.7418 0.7428 Se
0.0000 0.2543 0.7457 Se
0.0000 0.7457 0.2543 Se
```

Calculated values
energy relative to the elements, uncorrected: -1683 meV/atom
symmetry: P2/m, No. 10
crystal system: monoclinic

***

# 19
The following is a PBE calculation of LiPm2DySe5 after structural relaxation, from Alexandria via LeMat-Bulk.

Structure (POSCAR):
```
LiPm2DySe5
1.0
-3.2199 -1.9121 1.7275
6.9717 -3.4944 4.2039
-0.7006 8.9540 8.6047
Li Pm Dy Se
2 4 2 10
direct
0.5138 0.0276 0.9814 Li
0.4862 0.9724 0.4814 Li
0.8749 0.7498 0.7963 Pm
0.1076 0.2152 0.6852 Pm
0.1251 0.2502 0.2963 Pm
0.8924 0.7848 0.1852 Pm
0.8035 0.6071 0.5022 Dy
0.1965 0.3929 0.0022 Dy
0.3622 0.7244 0.9980 Se
0.6922 0.3844 0.8423 Se
0.5004 0.0009 0.7842 Se
0.2855 0.5711 0.6616 Se
0.9534 0.9068 0.5728 Se
0.6378 0.2756 0.4980 Se
0.3078 0.6156 0.3423 Se
0.4996 0.9991 0.2842 Se
0.7145 0.4289 0.1616 Se
0.0466 0.0932 0.0728 Se
```

Calculated values
energy relative to the elements, uncorrected: -1745 meV/atom
symmetry: Cmc2_1, No. 36
crystal system: orthorhombic

***

# 20
The following is a PBE calculation of LiPmDy2Se4 after structural relaxation, from Alexandria via LeMat-Bulk.

Structure (POSCAR):
```
LiPmDy2Se4
1.0
4.0764 0.0000 0.0000
0.0000 7.0933 0.1365
0.0000 -2.4664 6.6533
Li Pm Dy Se
1 1 2 4
direct
0.5000 0.5000 0.0000 Li
0.0000 0.0000 0.0000 Pm
0.5000 0.0000 0.5000 Dy
0.0000 0.5000 0.5000 Dy
0.5000 0.2607 0.2528 Se
0.5000 0.7393 0.7472 Se
0.0000 0.2574 0.7507 Se
0.0000 0.7426 0.2493 Se
```

Calculated values
energy relative to the elements, uncorrected: -1752 meV/atom
symmetry: P2/m, No. 10
crystal system: monoclinic
density of states at the Fermi level: 2.61 states/eV/f.u.

***

Calculated total energy in Ry/atom, matching the order above: -0.20015; -0.26830; -0.25023; -0.42751; -0.37337; -0.44074; -0.44017; -0.42405; -0.40693; -0.45628; -0.43348; -0.45170; -0.43968; -0.44887; -0.42940; -0.31508; -0.31253; -0.37285; -0.40133; -0.40259